Entry 1:
The following is a DFT calculation (GGA-PBE) of a geometry-optimized Tm8Tl5Cd structure.

Calculated values
Magnetization   0.000 μB per atom
Uncorrected energy   -3.654 eV/atom
Formation energy   -0.189 eV per atom

a b c (Å): 7.9849 7.9849 7.9849
angles (deg): 109.49 109.43 109.49
Last column: nearest neighbours and their distance in Å.
Atoms (fractional coordinates):
Tl 0.8646 0.8762 0.2437  8 Tm 3.08-3.35
Tl 0.3675 0.1238 0.9884  8 Tm 3.08-3.35
Tm 0.2745 0.2421 0.3797  5 Tl 3.09-3.35, 1 Cd 3.10, 1 Tm 3.44
Tl 0.5000 0.0000 0.5000  8 Tm 3.10-3.21
Tm 0.6402 0.4007 0.8816  5 Tl 3.08-3.27, 1 Cd 3.39
Tm 0.7606 0.2415 0.3598  5 Tl 3.08-3.27, 1 Cd 3.39
Tm 0.6203 0.8948 0.8624  5 Tl 3.09-3.35, 1 Cd 3.10, 1 Tm 3.44
Tm 0.1376 0.7579 0.0324  5 Tl 3.09-3.35, 1 Cd 3.10, 1 Tm 3.44
Tm 0.1184 0.7585 0.5191  5 Tl 3.08-3.27, 1 Cd 3.39
Tl 0.0116 0.3791 0.1354  8 Tm 3.08-3.35
Tm 0.9676 0.1052 0.7255  5 Tl 3.09-3.35, 1 Cd 3.10, 1 Tm 3.44
Cd 0.2500 0.5000 0.7500  8 Tm 3.10-3.39
Tm 0.4809 0.5993 0.2394  5 Tl 3.08-3.27, 1 Cd 3.39
Tl 0.7563 0.6209 0.6325  8 Tm 3.08-3.35

Entry 2:
The following is a DFT calculation (GGA-PBE) of a geometry-optimized BeSbRu3 structure.

Calculated values
Magnetization   0.000 μB per atom
Uncorrected energy   -6.834 eV/atom
ΔE_f (raw)   0.302 eV per atom
Polymorph energy (0 for the lowest one)   0.000 eV per atom

a b c (Å): 4.1758 4.1758 4.1758
angles (deg): 90.00 90.00 90.00
Last column: nearest neighbours and their distance in Å.
Atoms (fractional coordinates):
Ru 0.0000 0.5000 0.0000  2 Be 2.09
Be 0.0000 0.0000 0.0000  6 Ru 2.09
Ru 0.5000 0.0000 0.0000  2 Be 2.09
Sb 0.5000 0.5000 0.5000  12 Ru 2.95
Ru 0.0000 0.0000 0.5000  2 Be 2.09

Entry 3:
The following is a DFT calculation (GGA-PBE) of a geometry-optimized Ca4CdIn2 structure.

Calculated values
Magnetization   0.000 μB per atom
Uncorrected energy   -2.117 eV/atom
Polymorph energy (0 for the lowest one)   0.282 eV per atom
Formation energy   -0.060 eV per atom

a b c (Å): 5.8446 5.8446 8.7986
angles (deg): 70.60 70.60 90.00
Last column: nearest neighbours and their distance in Å.
Atoms (fractional coordinates):
Ca 0.0000 0.5000 0.0000  2 Cd 2.92
Ca 0.1966 0.1966 0.6068  1 Cd 3.05, 1 In 3.13
Cd 0.0000 0.0000 0.0000  6 Ca 2.92-3.05
In 0.3983 0.3983 0.2034  5 Ca 3.13-3.32, 1 In 3.16
Ca 0.5000 0.0000 0.0000  2 Cd 2.92
In 0.6017 0.6017 0.7966  5 Ca 3.13-3.32, 1 In 3.16
Ca 0.8034 0.8034 0.3932  1 Cd 3.05, 1 In 3.13

Entry 4:
The following is a DFT calculation (GGA-PBE) of a geometry-optimized Nd2ThSb3Rh4 structure.

Calculated values
Magnetization   0.045 μB per atom
Uncorrected energy   -6.716 eV/atom
ΔE_f (raw)   -0.844 eV per atom

a b c (Å): 4.4991 4.4991 11.3949
angles (deg): 90.00 90.00 90.00
Last column: nearest neighbours and their distance in Å.
Atoms (fractional coordinates):
Rh 0.5000 0.0000 0.6433  3 Sb 2.59-2.78, 2 Th 2.78
Sb 0.0000 0.5000 0.1296  5 Rh 2.59-2.69
Sb 0.5000 0.0000 0.8704  5 Rh 2.59-2.69
Nd 0.5000 0.0000 0.2117  8 Rh 3.30-3.58, 4 Sb 3.32
Sb 0.0000 0.0000 0.5000  4 Rh 2.78
Rh 0.0000 0.5000 0.3567  3 Sb 2.59-2.78, 2 Th 2.78
Nd 0.0000 0.5000 0.7883  8 Rh 3.30-3.58, 4 Sb 3.32
Rh 0.5000 0.5000 0.0000  4 Sb 2.69
Th 0.5000 0.5000 0.5000  4 Rh 2.78
Rh 0.0000 0.0000 0.0000  4 Sb 2.69